[1]
A plane-wave DFT calculation with PBE was carried out for a geometry-optimized Pr2HoTmBi4 structure.

a = 4.5519 Å, b = 7.8794 Å, c = 7.8603 Å
α = 109.52°, β = 90.00°, γ = 90.00°
Last column: nearest neighbours and their distance in Å.
Sites, in units of the cell vectors:
Bi: 0.5000 0.2446 0.2367  2 Tm 3.16, 1 Ho 3.16, 3 Pr 3.27-3.28
Bi: 0.0000 0.2532 0.7626  1 Tm 3.15, 2 Ho 3.17, 3 Pr 3.27
Bi: 0.0000 0.7468 0.2374  1 Tm 3.15, 2 Ho 3.17, 3 Pr 3.27
Bi: 0.5000 0.7554 0.7633  2 Tm 3.16, 1 Ho 3.16, 3 Pr 3.27-3.28
Pr: 0.0000 0.5000 0.5000  6 Bi 3.27-3.28
Pr: 0.5000 0.0000 0.5000  6 Bi 3.27
Tm: 0.0000 0.0000 0.0000  6 Bi 3.15-3.16
Ho: 0.5000 0.5000 0.0000  6 Bi 3.16-3.17

Space group: P2/m (10)
DFT formation energy: -7.0 eV/f.u.
Total DFT energy (no corrections): -5.146 eV/atom
Size of the total moment: 0.00 Bohr magnetons per cell

***

[2]
A plane-wave DFT calculation with PBE was carried out for a geometry-optimized Y2ErScSe4 structure.

a = 3.9892 Å, b = 7.0195 Å, c = 6.9703 Å
α = 70.97°, β = 90.00°, γ = 90.00°
Last column: nearest neighbours and their distance in Å.
Sites, in units of the cell vectors:
Se: 0.0000 0.7376 0.7593  2 Sc 2.78, 1 Er 2.83, 3 Y 2.87-2.91
Se: 0.5000 0.7414 0.2477  1 Sc 2.79, 2 Er 2.83, 3 Y 2.87-2.91
Se: 0.0000 0.2624 0.2407  2 Sc 2.78, 1 Er 2.83, 3 Y 2.87-2.91
Se: 0.5000 0.2586 0.7523  1 Sc 2.79, 2 Er 2.83, 3 Y 2.87-2.91
Sc: 0.5000 0.5000 0.0000  6 Se 2.78-2.79
Er: 0.0000 0.5000 0.5000  6 Se 2.83
Y: 0.0000 0.0000 0.0000  6 Se 2.87
Y: 0.5000 0.0000 0.5000  6 Se 2.91

Space group: P2/m (10)
Total DFT energy (no corrections): -6.416 eV/atom
Raw formation energy: -1.70 eV per atom
Size of the total moment: 0.00 Bohr magnetons per cell

***

[3]
A plane-wave DFT calculation with PBE was carried out for a geometry-optimized Pm3Al2Ag3 structure.

a = 4.6140 Å, b = 5.9492 Å, c = 15.2025 Å
α = 90.00°, β = 90.00°, γ = 112.82°
Last column: nearest neighbours and their distance in Å.
Sites, in units of the cell vectors:
Ag: 0.3814 0.7627 0.9594  3 Al 2.64-2.89, 1 Ag 2.88
Ag: 0.6763 0.3526 0.7500  2 Al 2.65
Ag: 0.6186 0.2373 0.4594  3 Al 2.64-2.89, 1 Ag 2.88
Ag: 0.6186 0.2373 0.0406  3 Al 2.64-2.89, 1 Ag 2.88
Ag: 0.3237 0.6474 0.2500  2 Al 2.65
Ag: 0.3814 0.7627 0.5406  3 Al 2.64-2.89, 1 Ag 2.88
Pm: 0.3910 0.7820 0.7500  5 Ag 3.13-3.30, 4 Al 3.41
Pm: 0.9092 0.8184 0.1054  7 Ag 3.22-3.40, 4 Al 3.22-3.34
Pm: 0.0908 0.1816 0.8946  7 Ag 3.22-3.40, 4 Al 3.22-3.34
Pm: 0.9092 0.8184 0.3946  7 Ag 3.22-3.40, 4 Al 3.22-3.34
Pm: 0.6090 0.2180 0.2500  5 Ag 3.13-3.30, 4 Al 3.41
Pm: 0.0908 0.1816 0.6054  7 Ag 3.22-3.40, 4 Al 3.22-3.34
Al: 0.7972 0.5944 0.9008  4 Ag 2.64-2.89
Al: 0.7972 0.5944 0.5992  4 Ag 2.64-2.89
Al: 0.2028 0.4056 0.4008  4 Ag 2.64-2.89
Al: 0.2028 0.4056 0.0992  4 Ag 2.64-2.89

Space group: Cmcm (63)
DFT formation energy: -2.6 eV/f.u.
Total DFT energy (no corrections): -4.117 eV/atom
Size of the total moment: 0.00 Bohr magnetons per cell